Density functional theory data (PBE+U) for a relaxed NaNbSnWO6 crystal.

Results
Crystal system: cubic
Calculated total energy (Ry per atom): -0.5243

abc: 8.0954 8.0954 8.0954
angles: 90.00 90.00 90.00
Space group F-43m (No. 216)
Asymmetric unit:
Na: 0.0000 0.0000 0.0000 [4 per cell]
Nb: 0.2500 0.2500 0.7500 [4 per cell]
Sn: 0.0000 0.0000 0.5000 [4 per cell]
W: 0.2500 0.2500 0.2500 [4 per cell]
O: 0.0012 0.2500 0.7500 [24 per cell]